# 1
First-principles (PBE) data for an optimized crystal structure of Pr4ErIn, as listed in the Alexandria database.

## Properties
E above lowest polymorph, meV per atom: 0.0
Energy of formation, meV per atom: -58.7

abc: 3.6307 30.9761 7.0271
angles: 90.00 90.00 90.00
With the nearest neighbours (Å) after each atom.
Space group Cmcm (No. 63)
One atom of each set of equivalent atoms:
Pr1 0.0000 0.0000 0.0000 (multiplicity 4)  8 Pr 3.51-3.63, 4 In 3.53
Pr2 0.0000 0.1597 0.0091 (multiplicity 8)  6 Pr 3.39-3.64, 3 Er 3.46-3.64, 2 In 3.50
Pr3 0.0000 0.4175 0.2500 (multiplicity 4)  10 Pr 3.51-3.63, 2 In 3.51
Er1 0.0000 0.2571 0.2500 (multiplicity 4)  6 Pr 3.46-3.64, 2 Er 3.63
In1 0.0000 0.4202 0.7500 (multiplicity 4)  10 Pr 3.50-3.53, 2 In 3.63


# 2
First-principles (PBE) data for an optimized crystal structure of Ca2HfZrAs4, as listed in the Alexandria database.

## Properties
Energy of formation, meV per atom: -1163.9

abc: 6.8439 3.9624 7.1912
angles: 90.00 108.52 90.00
With the nearest neighbours (Å) after each atom.
Space group P2/m (No. 10)
One atom of each set of equivalent atoms:
Ca1 0.0000 0.0000 0.0000 (multiplicity 1)  6 As 2.94
Ca2 0.5000 0.5000 0.0000 (multiplicity 1)  6 As 2.96
Hf1 0.0000 0.5000 0.5000 (multiplicity 1)  6 As 2.74-2.75
Zr1 0.5000 0.0000 0.5000 (multiplicity 1)  6 As 2.76
As1 0.2395 0.0000 0.7250 (multiplicity 2)  2 Hf 2.75, 1 Zr 2.76, 3 Ca 2.94-2.96
As2 0.2557 0.5000 0.2737 (multiplicity 2)  1 Hf 2.74, 2 Zr 2.76, 3 Ca 2.94-2.96


# 3
First-principles (PBE) data for an optimized crystal structure of BeGa3Ru, as listed in the Alexandria database.

## Properties
E above lowest polymorph, meV per atom: 0.0
Energy of formation, meV per atom: 457.0

abc: 4.7818 4.7818 4.7818
angles: 90.00 90.00 90.00
With the nearest neighbours (Å) after each atom.
Space group Pm-3m (No. 221)
One atom of each set of equivalent atoms:
Be1 0.0000 0.0000 0.0000 (multiplicity 1)  12 Ga 3.38
Ga1 0.0000 0.5000 0.5000 (multiplicity 3)  2 Ru 2.39
Ru1 0.5000 0.5000 0.5000 (multiplicity 1)  6 Ga 2.39


# 4
First-principles (PBE) data for an optimized crystal structure of Cs2HoGaI6, as listed in the Alexandria database.

## Properties
Energy relative to the elements, uncorrected, meV/atom: -1261

abc: 8.8136 12.4705 8.8100
angles: 90.00 90.00 90.00
With the nearest neighbours (Å) after each atom.
Space group Pmmn (No. 59, origin choice 2)
One atom of each set of equivalent atoms:
Cs1 0.2500 0.0013 0.2503 (multiplicity 4)  12 I 4.39-4.42
Ho1 0.2500 0.7500 0.7492 (multiplicity 2)  6 I 3.02
Ga1 0.2500 0.2500 0.7506 (multiplicity 2)  6 I 3.21-3.22
I1 0.0077 0.7500 0.5072 (multiplicity 4)  1 Ho 3.02, 1 Ga 3.21
I2 0.0079 0.7500 0.9915 (multiplicity 4)  1 Ho 3.02, 1 Ga 3.21
I3 0.2500 0.5080 0.7488 (multiplicity 4)  1 Ho 3.02, 1 Ga 3.22


# 5
First-principles (PBE) data for an optimized crystal structure of LaErTh, as listed in the Alexandria database.

## Properties
E above lowest polymorph, meV per atom: 117.7
Energy of formation, meV per atom: 149.3

abc: 5.7695 5.7695 3.4748
angles: 90.00 90.00 120.00
With the nearest neighbours (Å) after each atom.
Space group P3m1 (No. 156)
One atom of each set of equivalent atoms:
La1 0.0000 0.0000 0.0000 (multiplicity 1)  2 La 3.47, 6 Er 3.75-3.76, 6 Th 3.76
Er1 0.6667 0.3333 0.5016 (multiplicity 1)  3 Th 3.33, 2 Er 3.47
Th1 0.3333 0.6667 0.4994 (multiplicity 1)  3 Er 3.33, 2 Th 3.47


# 6
First-principles (PBE) data for an optimized crystal structure of TaHgAs2, as listed in the Alexandria database.

## Properties
Energy of formation, meV per atom: 371.6

abc: 3.9150 3.9150 9.9700
angles: 90.00 90.00 90.00
With the nearest neighbours (Å) after each atom.
Space group I-4m2 (No. 119)
One atom of each set of equivalent atoms:
Ta1 0.0000 0.0000 0.0000 (multiplicity 2)  4 As 2.77
Hg1 0.0000 0.5000 0.2500 (multiplicity 2)  4 As 2.77
As1 0.0000 0.0000 0.5000 (multiplicity 2)  4 Ta 2.77
As2 0.0000 0.5000 0.7500 (multiplicity 2)  4 Hg 2.77


# 7
First-principles (PBE) data for an optimized crystal structure of AcY3, as listed in the Alexandria database.

## Properties
Energy of formation, meV per atom: 56.8

abc: 5.2525 5.2525 10.2298
angles: 90.00 90.00 90.00
With the nearest neighbours (Å) after each atom.
Space group I4/mmm (No. 139)
One atom of each set of equivalent atoms:
Ac1 0.0000 0.0000 0.0000 (multiplicity 2)  12 Y 3.67-3.71
Y1 0.0000 0.0000 0.5000 (multiplicity 2)  8 Y 3.67, 4 Ac 3.71
Y2 0.0000 0.5000 0.2500 (multiplicity 4)  4 Ac 3.67, 8 Y 3.67-3.71


# 8
First-principles (PBE) data for an optimized crystal structure of TlHgICl, as listed in the Alexandria database.

## Properties
Energy relative to the elements, uncorrected, meV/atom: -274

abc: 7.9049 7.9049 7.9049
angles: 90.00 90.00 90.00
With the nearest neighbours (Å) after each atom.
Space group F-43m (No. 216)
One atom of each set of equivalent atoms:
Tl1 0.0000 0.0000 0.0000 (multiplicity 4)  4 Hg 3.42, 4 Cl 3.42
Hg1 0.2500 0.2500 0.2500 (multiplicity 4)  4 Tl 3.42, 4 I 3.42
I1 0.0000 0.0000 0.5000 (multiplicity 4)  4 Hg 3.42, 4 Cl 3.42
Cl1 0.2500 0.2500 0.7500 (multiplicity 4)  4 Tl 3.42, 4 I 3.42


What are the density of states at the Fermi level values for these records? In order: 34.545, 0.973, 2.168, 0.000, 5.849, 4.366, 14.978, 10.913 states/eV/cell.